A plane-wave DFT calculation with PBE-GGA was carried out for TbDyCuRh after structural relaxation.

Structure (POSCAR):
```
TbDyCuRh
1.0
4.384 0.000 0.000
0.000 1.893 5.190
0.000 -1.893 5.190
Tb Dy Cu Rh
1 1 1 1
direct
0.000 0.000 0.000
0.500 0.278 0.278
0.500 0.565 0.565
0.000 0.721 0.721
```

Summary:
Spin magnetization in μB/f.u.: 0.00
V in Å³/cell: 86
Energy of formation from the pure elements in eV/f.u.: -2.3
Total DFT energy (no corrections) in eV/atom: -5.750


A plane-wave DFT calculation with PBE-GGA was carried out for PmSm4Y15 after structural relaxation.

Structure (POSCAR):
```
PmSm4Y15
1.0
5.076 0.000 0.000
0.000 5.076 0.000
0.000 0.000 25.315
Pm Sm Y
1 4 15
direct
0.000 0.000 0.000
0.000 0.000 0.200
0.000 0.000 0.400
0.000 0.000 0.600
0.000 0.000 0.800
0.000 0.500 0.100
0.000 0.500 0.300
0.000 0.500 0.500
0.000 0.500 0.700
0.000 0.500 0.900
0.500 0.000 0.100
0.500 0.000 0.300
0.500 0.000 0.500
0.500 0.000 0.700
0.500 0.000 0.900
0.500 0.500 0.000
0.500 0.500 0.200
0.500 0.500 0.400
0.500 0.500 0.600
0.500 0.500 0.800
```

Summary:
Spin magnetization in μB/f.u.: 0.00
V in Å³/cell: 652
Energy of formation from the pure elements in eV/f.u.: 0.4
Total DFT energy (no corrections) in eV/atom: -6.009


A plane-wave DFT calculation with PBE-GGA was carried out for TeP3 after structural relaxation.

Structure (POSCAR):
```
TeP3
1.0
4.475 -5.782 0.000
4.475 5.782 0.000
0.000 0.000 3.501
Te P
2 6
direct
0.099 0.901 0.750
0.901 0.099 0.250
0.296 0.457 0.750
0.303 0.697 0.250
0.457 0.296 0.250
0.543 0.704 0.750
0.697 0.303 0.750
0.704 0.543 0.250
```

Summary:
Spin magnetization in μB/f.u.: 0.00
V in Å³/cell: 181
ΔE_f (raw) in eV per atom: 0.36
Total DFT energy (no corrections) in eV/atom: -4.479


A plane-wave DFT calculation with PBE-GGA was carried out for Ni2MoW after structural relaxation.

Structure (POSCAR):
```
Ni2MoW
1.0
4.442 -1.347 0.000
4.442 1.347 0.000
-0.832 0.000 4.593
Ni Mo W
2 1 1
direct
0.249 0.249 0.248
0.751 0.751 0.752
0.000 0.000 0.500
0.500 0.500 0.000
```

Summary:
Spin magnetization in μB/f.u.: 0.00
V in Å³/cell: 55
Energy of formation from the pure elements in eV/f.u.: 0.8
Total DFT energy (no corrections) in eV/atom: -8.626


A plane-wave DFT calculation with PBE-GGA was carried out for NaNbPd2 after structural relaxation.

Structure (POSCAR):
```
NaNbPd2
1.0
2.945 0.000 0.000
0.000 2.945 0.000
0.000 0.000 8.211
Na Nb Pd
1 1 2
direct
0.000 0.000 0.000
0.000 0.000 0.500
0.500 0.500 0.274
0.500 0.500 0.726
```

Summary:
Spin magnetization in μB/f.u.: 0.00
V in Å³/cell: 71
Energy of formation from the pure elements in eV/f.u.: -0.8
Total DFT energy (no corrections) in eV/atom: -5.654


A plane-wave DFT calculation with PBE-GGA was carried out for KRuRh after structural relaxation.

Structure (POSCAR):
```
KRuRh
1.0
4.937 0.000 0.000
-2.469 4.276 0.000
0.000 0.000 5.260
K Ru Rh
2 2 2
direct
0.000 0.000 0.000
0.000 0.000 0.500
0.333 0.667 0.250
0.667 0.333 0.750
0.333 0.667 0.750
0.667 0.333 0.250
```

Summary:
Spin magnetization in μB/f.u.: 1.06
V in Å³/cell: 111
Energy of formation from the pure elements in eV/f.u.: 3.5
Total DFT energy (no corrections) in eV/atom: -4.746


A plane-wave DFT calculation with PBE-GGA was carried out for Pm6ErPb after structural relaxation.

Structure (POSCAR):
```
Pm6ErPb
1.0
4.995 0.000 0.000
0.000 4.995 0.000
0.000 0.000 10.315
Pm Er Pb
6 1 1
direct
0.000 0.000 0.000
0.000 0.000 0.500
0.000 0.500 0.245
0.000 0.500 0.755
0.500 0.000 0.245
0.500 0.000 0.755
0.500 0.500 0.500
0.500 0.500 0.000
```

Summary:
Spin magnetization in μB/f.u.: 0.00
V in Å³/cell: 257
Energy of formation from the pure elements in eV/f.u.: -1.1
Total DFT energy (no corrections) in eV/atom: -4.740


A plane-wave DFT calculation with PBE-GGA was carried out for Zr7Ir2Pt2 after structural relaxation.

Structure (POSCAR):
```
Zr7Ir2Pt2
1.0
-1.732 7.175 4.642
1.732 -7.175 4.642
1.732 7.175 -4.642
Zr Ir Pt
7 2 2
direct
0.000 0.000 0.000
0.290 0.408 0.882
0.314 0.629 0.685
0.525 0.408 0.118
0.633 0.261 0.372
0.889 0.261 0.628
0.944 0.629 0.315
0.161 0.927 0.233
0.694 0.927 0.767
0.246 0.746 0.500
0.645 0.645 0.000
```

Summary:
Spin magnetization in μB/f.u.: 0.00
V in Å³/cell: 231
Energy of formation from the pure elements in eV/f.u.: -7.5
Total DFT energy (no corrections) in eV/atom: -8.831


A plane-wave DFT calculation with PBE-GGA was carried out for BaScIn2 after structural relaxation.

Structure (POSCAR):
```
BaScIn2
1.0
5.156 0.000 0.000
0.000 5.156 0.000
0.000 0.000 4.596
Ba Sc In
1 1 2
direct
0.000 0.000 0.000
0.500 0.500 0.000
0.000 0.500 0.500
0.500 0.000 0.500
```

Summary:
Spin magnetization in μB/f.u.: 0.00
V in Å³/cell: 122
Energy of formation from the pure elements in eV/f.u.: -0.5
Total DFT energy (no corrections) in eV/atom: -3.562


A plane-wave DFT calculation with PBE-GGA was carried out for TaGe3As after structural relaxation.

Structure (POSCAR):
```
TaGe3As
1.0
4.821 0.000 0.000
0.000 4.821 0.000
0.000 0.000 4.821
Ta Ge As
1 3 1
direct
0.000 0.000 0.000
0.000 0.500 0.500
0.500 0.000 0.500
0.500 0.500 0.000
0.500 0.500 0.500
```

Summary:
Spin magnetization in μB/f.u.: 0.00
V in Å³/cell: 112
Energy of formation from the pure elements in eV/f.u.: 6.5
Total DFT energy (no corrections) in eV/atom: -4.766


A plane-wave DFT calculation with PBE-GGA was carried out for KMo3H after structural relaxation.

Structure (POSCAR):
```
KMo3H
1.0
4.489 0.000 0.000
0.000 4.489 0.000
0.000 0.000 4.489
K Mo H
1 3 1
direct
0.000 0.000 0.000
0.000 0.000 0.500
0.000 0.500 0.000
0.500 0.000 0.000
0.500 0.500 0.500
```

Summary:
Spin magnetization in μB/f.u.: 0.00
V in Å³/cell: 90
Total DFT energy (no corrections) in eV/atom: -3.581


A plane-wave DFT calculation with PBE-GGA was carried out for Ba2BeF6 after structural relaxation.

Structure (POSCAR):
```
Ba2BeF6
1.0
5.360 0.000 0.000
0.000 5.360 0.000
0.000 0.000 10.775
Ba Be F
4 2 12
direct
0.000 0.000 0.164
0.000 0.000 0.836
0.500 0.500 0.336
0.500 0.500 0.664
0.000 0.000 0.500
0.500 0.500 0.000
0.167 0.167 0.375
0.167 0.167 0.625
0.236 0.764 0.500
0.264 0.264 0.000
0.333 0.667 0.125
0.333 0.667 0.875
0.667 0.333 0.125
0.667 0.333 0.875
0.736 0.736 0.000
0.764 0.236 0.500
0.833 0.833 0.375
0.833 0.833 0.625
```

Summary:
Spin magnetization in μB/f.u.: 0.00
V in Å³/cell: 310
ΔE_f (raw) in eV per atom: -3.40
Total DFT energy (no corrections) in eV/atom: -5.485


A plane-wave DFT calculation with PBE-GGA was carried out for AlIn2W after structural relaxation.

Structure (POSCAR):
```
AlIn2W
1.0
5.198 -1.470 0.000
5.198 1.470 0.000
-0.725 0.000 5.071
Al In W
1 2 1
direct
0.000 0.000 0.000
0.538 0.538 0.541
0.767 0.767 0.263
0.283 0.283 0.776
```

Summary:
Spin magnetization in μB/f.u.: 0.00
V in Å³/cell: 77
Energy of formation from the pure elements in eV/f.u.: 1.6
Total DFT energy (no corrections) in eV/atom: -5.142


A plane-wave DFT calculation with PBE-GGA was carried out for LiTc2P after structural relaxation.

Structure (POSCAR):
```
LiTc2P
1.0
2.811 0.000 0.000
0.000 3.794 0.000
-0.823 0.000 4.996
Li Tc P
1 2 1
direct
0.000 0.000 0.000
0.315 0.500 0.746
0.685 0.500 0.254
0.500 0.000 0.500
```

Summary:
Spin magnetization in μB/f.u.: 0.00
V in Å³/cell: 53
Energy of formation from the pure elements in eV/f.u.: 0.1
Total DFT energy (no corrections) in eV/atom: -6.987


A plane-wave DFT calculation with PBE-GGA was carried out for NiBPC after structural relaxation.

Structure (POSCAR):
```
NiBPC
1.0
2.778 0.000 0.000
-1.297 3.294 0.000
-0.123 -1.212 4.626
Ni B P C
1 1 1 1
direct
0.000 0.000 0.000
0.228 0.436 0.742
0.730 0.476 0.244
0.750 0.495 0.626
```

Summary:
Spin magnetization in μB/f.u.: 0.00
V in Å³/cell: 42
Energy of formation from the pure elements in eV/f.u.: 0.5
Total DFT energy (no corrections) in eV/atom: -6.638


A plane-wave DFT calculation with PBE-GGA was carried out for SmSi2Au after structural relaxation.

Structure (POSCAR):
```
SmSi2Au
1.0
13.708 0.000 0.000
0.000 4.278 0.000
0.000 0.000 10.707
Sm Si Au
8 16 8
direct
0.047 0.250 0.247
0.194 0.750 0.969
0.306 0.250 0.469
0.453 0.750 0.747
0.547 0.250 0.253
0.694 0.750 0.531
0.806 0.250 0.031
0.953 0.750 0.753
0.024 0.250 0.960
0.114 0.250 0.777
0.133 0.750 0.467
0.210 0.750 0.272
0.290 0.250 0.772
0.367 0.250 0.967
0.386 0.750 0.277
0.476 0.750 0.460
0.524 0.250 0.540
0.614 0.250 0.723
0.633 0.750 0.033
0.710 0.750 0.228
0.790 0.250 0.728
0.867 0.250 0.533
0.886 0.750 0.223
0.976 0.750 0.040
0.061 0.250 0.554
0.231 0.750 0.670
0.269 0.250 0.170
0.439 0.750 0.054
0.561 0.250 0.946
0.731 0.750 0.830
0.769 0.250 0.330
0.939 0.750 0.446
```

Summary:
Spin magnetization in μB/f.u.: 0.00
V in Å³/cell: 628
ΔE_f (raw) in eV per atom: -0.60
Total DFT energy (no corrections) in eV/atom: -5.312


A plane-wave DFT calculation with PBE-GGA was carried out for MnAl2GaS6 after structural relaxation.

Structure (POSCAR):
```
MnAl2GaS6
1.0
5.913 -5.457 0.000
5.913 5.457 0.000
-1.279 0.000 6.086
Mn Al Ga S
2 4 2 12
direct
0.097 0.903 0.750
0.903 0.097 0.250
0.220 0.403 0.700
0.403 0.220 0.200
0.597 0.780 0.800
0.780 0.597 0.300
0.265 0.735 0.250
0.735 0.265 0.750
0.025 0.197 0.619
0.114 0.638 0.894
0.197 0.025 0.119
0.285 0.453 0.377
0.362 0.886 0.606
0.453 0.285 0.877
0.547 0.715 0.123
0.638 0.114 0.394
0.715 0.547 0.623
0.803 0.975 0.881
0.886 0.362 0.106
0.975 0.803 0.381
```

Summary:
Spin magnetization in μB/f.u.: 4.00
V in Å³/cell: 393
ΔE_f (raw) in eV per atom: -0.73
Total DFT energy (no corrections) in eV/atom: -5.176


A plane-wave DFT calculation with PBE-GGA was carried out for K2RbSrCd after structural relaxation.

Structure (POSCAR):
```
K2RbSrCd
1.0
6.942 0.000 0.000
0.000 6.942 0.000
0.000 0.000 6.675
K Rb Sr Cd
2 1 1 1
direct
0.000 0.500 0.000
0.500 0.000 0.000
0.000 0.000 0.500
0.500 0.500 0.500
0.500 0.500 0.000
```

Summary:
Spin magnetization in μB/f.u.: 0.00
V in Å³/cell: 322
Energy of formation from the pure elements in eV/f.u.: 0.2
Total DFT energy (no corrections) in eV/atom: -1.104


A plane-wave DFT calculation with PBE-GGA was carried out for Dy2ScAl4Au3 after structural relaxation.

Structure (POSCAR):
```
Dy2ScAl4Au3
1.0
4.199 0.000 0.000
0.000 4.199 0.000
0.000 0.000 11.631
Dy Sc Al Au
2 1 4 3
direct
0.000 0.500 0.239
0.500 0.000 0.761
0.000 0.000 0.500
0.000 0.000 0.000
0.000 0.500 0.656
0.500 0.000 0.344
0.500 0.500 0.000
0.000 0.500 0.869
0.500 0.000 0.131
0.500 0.500 0.500
```

Summary:
Spin magnetization in μB/f.u.: 0.00
V in Å³/cell: 205
Energy of formation from the pure elements in eV/f.u.: -6.3
Total DFT energy (no corrections) in eV/atom: -4.665


A plane-wave DFT calculation with PBE-GGA was carried out for RuRh2Pb after structural relaxation.

Structure (POSCAR):
```
RuRh2Pb
1.0
3.350 0.000 0.000
0.000 3.350 0.000
0.000 0.000 5.974
Ru Rh Pb
1 2 1
direct
0.000 0.000 0.000
0.000 0.000 0.552
0.500 0.500 0.803
0.500 0.500 0.296
```

Summary:
Spin magnetization in μB/f.u.: 1.17
V in Å³/cell: 67
Energy of formation from the pure elements in eV/f.u.: 1.5
Total DFT energy (no corrections) in eV/atom: -6.557